Entry 1:
Compound: GdY2Fe7Ni2
Source: OQMD
Functional: PBE
Structure: optimized geometry

Computed properties:
ΔE_f in eV/atom: -0.12

a = 5.0115 Å, b = 5.0115 Å, c = 24.7204 Å
α = 90.00°, β = 90.00°, γ = 120.00°
Last column: nearest neighbours and their distance in Å.
Space group R-3m (No. 166, hexagonal axes)
Inequivalent atoms, fractional coordinates:
Gd 0.0000 0.0000 0.0000 x3  6 Ni 2.89, 12 Fe 3.22
Y 0.0000 0.0000 0.1418 x6  12 Fe 2.91-3.07, 3 Y 3.14
Fe 0.0000 0.0000 0.5000 x3  6 Fe 2.54
Fe 0.0011 0.5006 0.0821 x18  2 Ni 2.48-2.51, 5 Fe 2.50-2.54
Ni 0.0000 0.0000 0.3325 x6  6 Fe 2.48-2.51

Entry 2:
Compound: TmGeAuSe3
Source: OQMD
Functional: PBE
Structure: optimized geometry

Computed properties:
Energy relative to the lowest polymorph listed for this composition in meV per atom: 33

a = 12.0361 Å, b = 4.0450 Å, c = 12.4601 Å
α = 90.00°, β = 90.00°, γ = 90.00°
Last column: nearest neighbours and their distance in Å.
Space group Pnma (No. 62)
Inequivalent atoms, fractional coordinates:
Tm 0.0136 0.2500 0.1651 x4  6 Se 2.85-2.90
Ge 0.1827 0.2500 0.5735 x4  3 Se 2.61-2.70, 2 Au 2.89
Au 0.1941 0.7500 0.4079 x4  2 Se 2.47-2.49
Se 0.0074 0.7500 0.3258 x4  1 Au 2.47, 1 Ge 2.61
Se 0.1032 0.2500 0.9494 x4  1 Au 2.49
Se 0.2501 0.2500 0.2012 x4  2 Ge 2.70, 1 Tm 2.88

Entry 3:
Compound: PmNpIr
Source: OQMD
Functional: PBE
Structure: optimized geometry

Computed properties:
ΔE_f in eV/atom: -0.15

a = 6.7784 Å, b = 6.7784 Å, c = 6.7784 Å
α = 90.00°, β = 90.00°, γ = 90.00°
Last column: nearest neighbours and their distance in Å.
Space group F-43m (No. 216)
Inequivalent atoms, fractional coordinates:
Pm 0.0000 0.0000 0.0000 x4  4 Ir 2.94
Np 0.0000 0.0000 0.5000 x4  4 Ir 2.94
Ir 0.2500 0.2500 0.2500 x4  4 Np 2.94, 4 Pm 2.94

Entry 4:
Compound: TaTcMo2
Source: OQMD
Functional: PBE
Structure: optimized geometry

Computed properties:
ΔE_f in eV/atom: -0.17

a = 6.3463 Å, b = 6.3463 Å, c = 6.3463 Å
α = 90.00°, β = 90.00°, γ = 90.00°
Last column: nearest neighbours and their distance in Å.
Space group F-43m (No. 216)
Inequivalent atoms, fractional coordinates:
Ta 0.0000 0.0000 0.0000 x4  4 Mo 2.75, 4 Tc 2.75
Tc 0.2500 0.2500 0.2500 x4  4 Ta 2.75, 4 Mo 2.75
Mo 0.0000 0.0000 0.5000 x4  4 Mo 2.75, 4 Tc 2.75
Mo 0.2500 0.2500 0.7500 x4  4 Ta 2.75, 4 Mo 2.75

Entry 5:
Compound: SmIr
Source: OQMD
Functional: PBE
Structure: optimized geometry

Computed properties:
ΔE_f in eV/atom: -0.17

a = 3.6136 Å, b = 3.6136 Å, c = 4.0073 Å
α = 90.00°, β = 90.00°, γ = 120.00°
Last column: nearest neighbours and their distance in Å.
Space group P-6m2 (No. 187)
Inequivalent atoms, fractional coordinates:
Sm 0.0000 0.0000 0.0000 x1  6 Ir 2.89
Ir 0.3333 0.6667 0.5000 x1  6 Sm 2.89

Entry 6:
Compound: ZnAgSeO
Source: OQMD
Functional: PBE
Structure: optimized geometry

Computed properties:
Energy relative to the lowest polymorph listed for this composition in meV per atom: 213

a = 6.1294 Å, b = 7.4302 Å, c = 6.0054 Å
α = 90.00°, β = 90.00°, γ = 90.00°
Last column: nearest neighbours and their distance in Å.
Space group Pca2_1 (No. 29)
Inequivalent atoms, fractional coordinates:
Zn 0.1225 0.1660 0.0000 x4  1 O 1.95
Ag 0.2367 0.5974 0.8276 x4  2 O 2.18-2.22
Se 0.0109 0.8540 0.0972 x4  3 Zn 2.46-2.56
O 0.0126 0.4056 0.0678 x4  1 Zn 1.95

Entry 7:
Compound: Re17W12
Source: OQMD
Functional: PBE
Structure: optimized geometry

Computed properties:
Energy relative to the lowest polymorph listed for this composition in meV per atom: 0
ΔE_f in eV/atom: 0.11

a = 9.6961 Å, b = 9.6961 Å, c = 9.6961 Å
α = 90.00°, β = 90.00°, γ = 90.00°
Last column: nearest neighbours and their distance in Å.
Space group I-43m (No. 217)
Inequivalent atoms, fractional coordinates:
Re 0.0000 0.0000 0.0000 x2  16 Re 2.95-3.01
Re 0.0910 0.0910 0.7177 x24  3 Re 2.49-2.62, 3 W 2.64-2.73
Re 0.1758 0.1758 0.1758 x8  3 W 2.75, 7 Re 2.90-2.95
W 0.0447 0.3583 0.6417 x24  6 Re 2.64-2.85, 6 W 2.88-2.93

Entry 8:
Compound: BaPrAsO
Source: OQMD
Functional: PBE
Structure: optimized geometry

Computed properties:
Energy relative to the lowest polymorph listed for this composition in meV per atom: 367

a = 4.5716 Å, b = 4.5716 Å, c = 9.7996 Å
α = 90.00°, β = 90.00°, γ = 90.00°
Last column: nearest neighbours and their distance in Å.
Space group P4/nmm (No. 129, origin choice 2)
Inequivalent atoms, fractional coordinates:
Ba 0.2500 0.7500 0.0000 x2  4 As 3.18, 4 Ba 3.23
Pr 0.2500 0.2500 0.4090 x2  4 O 2.45
As 0.2500 0.2500 0.7743 x2  4 Ba 3.18, 4 O 3.53
O 0.2500 0.7500 0.5000 x2  4 Pr 2.45

Number 1: mass density 7.81 g cm⁻³, calculated volume 14.94 A^3/atom, final energy -7.355 eV per atom. Number 2: mass density 7.40 g cm⁻³, calculated volume 25.28 A^3/atom, final energy -4.600 eV per atom. Number 3: mass density 12.25 g cm⁻³, calculated volume 25.95 A^3/atom, final energy -8.943 eV per atom. Number 4: mass density 12.24 g cm⁻³, calculated volume 15.97 A^3/atom, final energy -11.144 eV per atom. Number 5: mass density 12.55 g cm⁻³, calculated volume 22.66 A^3/atom, final energy -6.948 eV per atom. Number 6: mass density 6.51 g cm⁻³, calculated volume 17.09 A^3/atom, final energy -3.472 eV per atom. Number 7: mass density 19.57 g cm⁻³, calculated volume 15.72 A^3/atom, final energy -12.536 eV per atom. Number 8: mass density 5.99 g cm⁻³, calculated volume 25.60 A^3/atom, final energy -5.680 eV per atom.